The following is a PBE+U calculation of an optimized crystal structure of Zn2MoOsO, from Alexandria.

* E_tot: -20.5 eV per cell
* total moment: 3.11 μB per cell

Cell: 5.080 5.080 3.663 Å, 90.00 90.00 90.00°
Sites, in units of the cell vectors:
Zn  0.000  0.500  0.000
Zn  0.500  0.000  0.000
Mo  0.000  0.000  0.000
Os  0.500  0.500  0.500
O  0.000  0.000  0.500